Record 1
The following is a GGA-PBE calculation of an optimized crystal structure of Hg3S2ICl, from OQMD.

Summary:
- electronic total energy (eV for the cell shown) = -58.2
- crystal system = monoclinic
- space group = C2/m

Cell: 9.430 10.395 10.875 Å, 99.82 115.69 63.03°
Fractional positions:
S 0.371 0.993 0.251
S 0.107 0.517 0.250
I 0.625 0.251 0.502
S 0.887 0.993 0.251
Cl 0.110 0.258 0.479
Hg 0.651 0.459 0.761
Hg 0.192 0.257 0.204
Hg 0.500 0.000 0.500
I 0.372 0.258 0.002
Hg 0.000 0.000 0.500
Hg 0.783 0.500 0.500
S 0.629 0.007 0.749
Hg 0.620 0.974 0.214
S 0.626 0.517 0.250
Cl 0.876 0.264 0.016
S 0.374 0.483 0.750
Hg 0.217 0.500 0.500
Cl 0.124 0.736 0.984
Hg 0.349 0.541 0.239
Hg 0.755 0.257 0.204
Hg 0.380 0.026 0.786
Hg 0.245 0.743 0.796
I 0.375 0.749 0.498
Cl 0.890 0.742 0.521
S 0.893 0.483 0.750
I 0.628 0.742 0.998
S 0.113 0.007 0.749
Hg 0.808 0.743 0.796

***

Record 2
The following is a GGA-PBE calculation of an optimized crystal structure of In3HgCl6, from OQMD.

Summary:
- electronic total energy (eV for the cell shown) = -27.3
- crystal system = cubic
- space group = Fm-3m

Cell: 7.546 7.546 7.546 Å, 60.00 60.00 60.00°
Fractional positions:
Hg 0.000 0.000 0.000
In 0.250 0.250 0.250
Cl 0.740 0.740 0.260
Cl 0.740 0.260 0.260
Cl 0.260 0.740 0.260
In 0.750 0.750 0.750
Cl 0.740 0.260 0.740
Cl 0.260 0.740 0.740
In 0.500 0.500 0.500
Cl 0.260 0.260 0.740

***

Record 3
The following is a GGA-PBE calculation of an optimized crystal structure of InHg7S6Cl5, from OQMD.

Summary:
- electronic total energy (eV for the cell shown) = -94.2
- crystal system = triclinic
- space group = P-1

Cell: 7.555 10.769 14.043 Å, 68.62 74.43 87.00°
Fractional positions:
Hg 0.849 0.958 0.774
S 0.804 0.497 0.150
Hg 0.282 0.633 0.940
In 0.564 0.859 0.322
Cl 0.337 0.324 0.166
Hg 0.151 0.042 0.226
Hg 0.367 0.293 0.939
S 0.698 0.271 0.931
Hg 0.000 0.500 0.500
Cl 0.582 0.359 0.664
S 0.782 0.072 0.606
S 0.971 0.383 0.390
S 0.218 0.928 0.394
Cl 0.891 0.796 0.250
Hg 0.000 0.000 0.000
Cl 0.109 0.204 0.750
S 0.934 0.835 0.936
Cl 0.299 0.928 0.672
Hg 0.718 0.367 0.060
Cl 0.455 0.032 0.866
S 0.376 0.283 0.490
Hg 0.641 0.391 0.342
S 0.029 0.617 0.610
S 0.302 0.729 0.069
In 0.436 0.141 0.678
Cl 0.545 0.968 0.134
S 0.066 0.165 0.064
Cl 0.418 0.641 0.336
Hg 0.148 0.545 0.227
Hg 0.633 0.707 0.061
S 0.196 0.503 0.850
Cl 0.701 0.072 0.328
Hg 0.359 0.609 0.658
Hg 0.295 0.114 0.435
S 0.624 0.717 0.510
Hg 0.705 0.886 0.565
Hg 0.852 0.455 0.773
Cl 0.663 0.676 0.834

***

Record 4
The following is a GGA-PBE calculation of an optimized crystal structure of K2HgIrCl6, from OQMD.

Summary:
- electronic total energy (eV for the cell shown) = -32.3
- crystal system = cubic
- space group = Fm-3m

Cell: 7.260 7.260 7.260 Å, 60.00 60.00 60.00°
Fractional positions:
K 0.750 0.750 0.750
Cl 0.731 0.269 0.731
Hg 0.000 0.000 0.000
K 0.250 0.250 0.250
Cl 0.731 0.731 0.269
Cl 0.731 0.269 0.269
Ir 0.500 0.500 0.500
Cl 0.269 0.269 0.731
Cl 0.269 0.731 0.269
Cl 0.269 0.731 0.731

***

Record 5
The following is a GGA-PBE calculation of an optimized crystal structure of NaHg2IrCl6, from OQMD.

Summary:
- electronic total energy (eV for the cell shown) = -27.4
- crystal system = cubic
- space group = Fm-3m

Cell: 7.118 7.118 7.118 Å, 60.00 60.00 60.00°
Fractional positions:
Cl 0.770 0.230 0.230
Hg 0.750 0.750 0.750
Cl 0.770 0.230 0.770
Cl 0.230 0.230 0.770
Cl 0.230 0.770 0.770
Cl 0.230 0.770 0.230
Na 0.500 0.500 0.500
Ir 0.000 0.000 0.000
Cl 0.770 0.770 0.230
Hg 0.250 0.250 0.250

***

Record 6
The following is a GGA-PBE calculation of an optimized crystal structure of Rb2HgIrCl6, from OQMD.

Summary:
- electronic total energy (eV for the cell shown) = -32.3
- crystal system = cubic
- space group = Fm-3m

Cell: 7.337 7.337 7.337 Å, 60.00 60.00 60.00°
Fractional positions:
Rb 0.750 0.750 0.750
Ir 0.000 0.000 0.000
Cl 0.230 0.770 0.230
Cl 0.770 0.230 0.770
Cl 0.230 0.230 0.770
Rb 0.250 0.250 0.250
Cl 0.770 0.230 0.230
Hg 0.500 0.500 0.500
Cl 0.770 0.770 0.230
Cl 0.230 0.770 0.770

***

Record 7
The following is a GGA-PBE calculation of an optimized crystal structure of K3HgCl6, from OQMD.

Summary:
- electronic total energy (eV for the cell shown) = -26.7
- crystal system = cubic
- space group = Fm-3m

Cell: 7.735 7.735 7.735 Å, 60.00 60.00 60.00°
Fractional positions:
Cl 0.236 0.764 0.764
K 0.250 0.250 0.250
Cl 0.764 0.236 0.764
K 0.500 0.500 0.500
Hg 0.000 0.000 0.000
K 0.750 0.750 0.750
Cl 0.236 0.764 0.236
Cl 0.236 0.236 0.764
Cl 0.764 0.236 0.236
Cl 0.764 0.764 0.236

***

Record 8
The following is a GGA-PBE calculation of an optimized crystal structure of K2Hg2SCl4O3, from OQMD.

Summary:
- electronic total energy (eV for the cell shown) = -88.0
- crystal system = monoclinic
- space group = P2_1/m

Cell: 9.635 5.989 10.273 Å, 90.00 110.21 90.00°
Fractional positions:
S 0.692 0.750 0.882
K 0.871 0.250 0.056
Cl 0.721 0.250 0.290
Cl 0.162 0.250 0.467
K 0.129 0.750 0.944
Hg 0.884 0.250 0.528
Cl 0.417 0.750 0.389
S 0.308 0.250 0.118
K 0.399 0.250 0.823
Cl 0.838 0.750 0.533
O 0.361 0.045 0.067
O 0.361 0.455 0.067
Cl 0.279 0.750 0.710
O 0.146 0.250 0.080
Hg 0.592 0.750 0.631
O 0.854 0.750 0.920
O 0.639 0.955 0.933
Cl 0.980 0.750 0.231
Hg 0.116 0.750 0.472
K 0.601 0.750 0.177
Cl 0.020 0.250 0.769
Cl 0.583 0.250 0.611
O 0.639 0.545 0.933
Hg 0.408 0.250 0.369

***

> Which formula does entry 1 have?

Hg3S2ICl

***

> Among the records above, which one has the lowest electronic total energy?

InHg7S6Cl5